This record from Alexandria via LeMat-Bulk describes Ce4InPt after structural relaxation. The functional is GGA-PBE.

uncorrected energy	-5.8555	eV/atom
size of the total moment	0.03	μB/atom
calculated formation energy	-0.44	eV/atom

a = 5.661 Å, b = 8.682 Å, c = 7.787 Å
α = 116.99°, β = 101.80°, γ = 106.57°
Element x y z (fractional)
Ce  0.747  0.384  0.215
Ce  0.282  0.929  0.612
Ce  0.830  0.683  0.612
Ce  0.032  0.169  0.785
Ce  0.968  0.831  0.215
Ce  0.170  0.317  0.388
Ce  0.718  0.071  0.388
Ce  0.253  0.616  0.785
Pt  0.727  0.977  0.955
Pt  0.273  0.023  0.045
In  0.361  0.611  0.222
In  0.639  0.389  0.778


This record from Alexandria via LeMat-Bulk describes Rb3GaCu after structural relaxation. The functional is GGA-PBE.

uncorrected energy	-1.5596	eV/atom
size of the total moment	0.00	μB/atom
calculated formation energy	0.45	eV/atom
ΔE to the lowest computed polymorph	0.000	eV per atom

a = 6.512 Å, b = 6.512 Å, c = 6.512 Å
α = 90.00°, β = 90.00°, γ = 90.00°
Element x y z (fractional)
Rb  0.000  0.500  0.000
Rb  0.500  0.000  0.000
Rb  0.000  0.000  0.500
Cu  0.000  0.000  0.000
Ga  0.500  0.500  0.500


This record from Alexandria via LeMat-Bulk describes Y5PuP6 after structural relaxation. The functional is GGA-PBE.

uncorrected energy	-8.1323	eV/atom
size of the total moment	0.40	μB/atom
calculated formation energy	-1.54	eV/atom

a = 6.942 Å, b = 6.942 Å, c = 6.941 Å
α = 59.99°, β = 80.40°, γ = 70.52°
Element x y z (fractional)
P  0.751  0.083  0.330
P  0.248  0.247  0.000
P  0.249  0.587  0.330
P  0.752  0.753  0.000
P  0.751  0.413  0.670
P  0.249  0.917  0.670
Pu  0.000  0.000  0.000
Y  0.000  0.666  0.667
Y  0.500  0.833  0.335
Y  0.000  0.334  0.333
Y  0.500  0.500  0.000
Y  0.500  0.167  0.665


This record from Alexandria via LeMat-Bulk describes DyHo5Rh6 after structural relaxation. The functional is GGA-PBE.

uncorrected energy	-6.8682	eV/atom
size of the total moment	0.00	μB/atom
calculated formation energy	-0.90	eV/atom

a = 4.814 Å, b = 6.850 Å, c = 7.621 Å
α = 90.00°, β = 71.59°, γ = 90.00°
Element x y z (fractional)
Rh  0.833  0.750  0.334
Rh  0.167  0.250  0.666
Rh  0.500  0.749  0.000
Rh  0.833  0.250  0.334
Rh  0.167  0.750  0.666
Rh  0.500  0.251  0.000
Ho  0.333  0.000  0.334
Ho  0.000  0.500  0.000
Ho  0.333  0.500  0.333
Ho  0.667  0.500  0.667
Ho  0.667  0.000  0.666
Dy  0.000  0.000  0.000


This record from Alexandria via LeMat-Bulk describes TiSnS2 after structural relaxation. The functional is GGA-PBE.

uncorrected energy	-6.0054	eV/atom
size of the total moment	0.00	μB/atom
formation energy without anion corrections	-93	kJ/mol of atoms

a = 3.386 Å, b = 3.386 Å, c = 8.432 Å
α = 90.00°, β = 90.00°, γ = 120.00°
Element x y z (fractional)
S  0.333  0.667  0.814
S  0.667  0.333  0.160
Sn  0.333  0.667  0.492
Ti  0.000  0.000  0.988


This record from Alexandria via LeMat-Bulk describes Ir2WBr after structural relaxation. The functional is GGA-PBE.

uncorrected energy	-7.3821	eV/atom
size of the total moment	0.00	μB/atom
formation energy without anion corrections	68	kJ/mol of atoms
ΔE to the lowest computed polymorph	0.453	eV per atom

a = 2.835 Å, b = 3.663 Å, c = 6.957 Å
α = 90.00°, β = 90.00°, γ = 90.00°
Element x y z (fractional)
W  0.000  0.000  0.449
Br  0.500  0.500  0.727
Ir  0.000  0.000  0.063
Ir  0.500  0.500  0.260


This record from Alexandria via LeMat-Bulk describes Rb4AuBr7 after structural relaxation. The functional is GGA-PBE.

uncorrected energy	-2.7705	eV/atom
size of the total moment	0.00	μB/atom
formation energy without anion corrections	-116	kJ/mol of atoms

a = 5.581 Å, b = 9.325 Å, c = 10.853 Å
α = 68.46°, β = 75.10°, γ = 72.59°
Element x y z (fractional)
Br  0.349  0.753  0.548
Br  0.933  0.887  0.248
Br  0.757  0.497  0.989
Br  0.651  0.247  0.452
Br  0.243  0.503  0.011
Br  0.067  0.113  0.752
Br  0.500  0.000  0.000
Rb  0.552  0.632  0.263
Rb  0.720  0.863  0.696
Rb  0.448  0.368  0.737
Rb  0.280  0.137  0.304
Au  0.000  0.000  0.000


This record from Alexandria via LeMat-Bulk describes Sr2PmThAs4 after structural relaxation. The functional is GGA-PBE.

uncorrected energy	-5.5371	eV/atom
size of the total moment	0.00	μB/atom
calculated formation energy	-1.27	eV/atom

a = 4.354 Å, b = 7.543 Å, c = 7.642 Å
α = 109.26°, β = 90.00°, γ = 90.00°
Element x y z (fractional)
Th  0.500  0.500  0.000
As  0.000  0.259  0.772
As  0.500  0.756  0.772
As  0.000  0.741  0.228
As  0.500  0.244  0.228
Pm  0.000  0.000  0.000
Sr  0.000  0.500  0.500
Sr  0.500  0.000  0.500


Question: The highest size of the total moment belongs to which entry?
Answer: Y5PuP6


Question: What is the uncorrected energy in the fifth record?
Answer: -6.0054 eV/atom


Question: Look up the uncorrected energy of the fourth one.
Answer: -6.8682 eV/atom